## La2BeRh (PBEsol)

Data for a relaxed structure of La2BeRh.

abc: 3.610 3.611 6.741
angles: 90.00 90.99 90.00
Fractional coordinates of all 4 atoms:
Be  0.500  0.500  0.500
Rh  0.500  0.500  0.000
La  0.010  0.000  0.751
La  0.990  0.000  0.249

Summary:
SG: P2/m, No. 10
E_form: -0.165 eV per atom



## LaBeRu2 (PBEsol)

Data for a relaxed structure of LaBeRu2.

abc: 2.974 4.284 5.297
angles: 90.00 103.40 90.00
Fractional coordinates of all 4 atoms:
Ru  0.010  0.000  0.104
Ru  0.597  0.500  0.234
Be  0.640  0.000  0.432
La  0.252  0.500  0.730

Summary:
SG: Pm, No. 6
E_form: 0.122 eV per atom



## LaBe3Ru (PBEsol)

Data for a relaxed structure of LaBe3Ru.

abc: 4.316 4.316 4.316
angles: 90.00 90.00 90.00
Fractional coordinates of all 5 atoms:
Ru  0.000  0.000  0.000
Be  0.000  0.500  0.000
Be  0.000  0.000  0.500
Be  0.500  0.000  0.000
La  0.500  0.500  0.500

Summary:
SG: Pm-3m, No. 221
E_form: -0.033 eV per atom



## LaBe2Ru2 (PBEsol)

Data for a relaxed structure of LaBe2Ru2.

abc: 4.191 4.191 5.301
angles: 113.28 113.28 90.00
Fractional coordinates of all 5 atoms:
Ru  0.250  0.750  0.500
Ru  0.750  0.250  0.500
Be  0.653  0.653  0.305
Be  0.347  0.347  0.695
La  0.000  0.000  0.000

Summary:
SG: I4/mmm, No. 139
E_form: -0.099 eV per atom



## La3BeS (PBEsol)

Data for a relaxed structure of La3BeS.

abc: 5.395 5.395 5.395
angles: 90.00 90.00 90.00
Fractional coordinates of all 5 atoms:
Be  0.500  0.500  0.500
S  0.000  0.000  0.000
La  0.000  0.500  0.000
La  0.000  0.000  0.500
La  0.500  0.000  0.000

Summary:
SG: Pm-3m, No. 221
calculated total energy: -5.2583 eV/atom



## La3BeSbS7 (PBEsol)

Data for a relaxed structure of La3BeSbS7.

abc: 6.201 10.079 10.079
angles: 120.00 90.00 90.00
Fractional coordinates of all 24 atoms:
La  0.756  0.856  0.251
La  0.756  0.749  0.605
La  0.756  0.395  0.144
La  0.256  0.144  0.749
La  0.256  0.251  0.395
La  0.256  0.605  0.856
Be  0.344  0.667  0.333
Be  0.844  0.333  0.667
Sb  0.012  0.000  0.000
Sb  0.512  0.000  0.000
S  0.209  0.903  0.159
S  0.209  0.841  0.744
S  0.209  0.256  0.097
S  0.709  0.097  0.841
S  0.709  0.159  0.256
S  0.709  0.744  0.903
S  0.474  0.590  0.111
S  0.474  0.889  0.479
S  0.474  0.521  0.410
S  0.974  0.410  0.889
S  0.974  0.111  0.521
S  0.974  0.479  0.590
S  0.997  0.667  0.333
S  0.497  0.333  0.667

Summary:
SG: P6_3, No. 173
calculated total energy: -6.1482 eV/atom



## La3TiBeS7 (PBEsol)

Data for a relaxed structure of La3TiBeS7.

abc: 5.818 10.321 10.321
angles: 120.00 90.00 90.00
Site moments in Bohr magnetons follow the coordinates.
Fractional coordinates of all 24 atoms:
La  0.251  0.863  0.255  0.01
La  0.251  0.745  0.609  0.01
La  0.251  0.391  0.137  0.01
La  0.751  0.137  0.745  0.01
La  0.751  0.255  0.391  0.01
La  0.751  0.609  0.863  0.01
Ti  0.485  0.000  0.000  0.21
Ti  0.985  0.000  0.000  0.21
Be  0.841  0.667  0.333  0.00
Be  0.341  0.333  0.667  0.00
S  0.734  0.923  0.147  0.00
S  0.734  0.853  0.776  0.00
S  0.734  0.224  0.077  0.00
S  0.234  0.077  0.853  0.00
S  0.234  0.147  0.224  0.00
S  0.234  0.776  0.923  0.00
S  0.968  0.597  0.115  0.00
S  0.968  0.885  0.482  0.00
S  0.968  0.518  0.403  0.00
S  0.468  0.403  0.885  0.00
S  0.468  0.115  0.518  0.00
S  0.468  0.482  0.597  0.00
S  0.483  0.667  0.333  0.00
S  0.983  0.333  0.667  0.00

Summary:
SG: P6_3, No. 173
calculated total energy: -6.7699 eV/atom



## La3BeVS7 (PBEsol)

Data for a relaxed structure of La3BeVS7.

abc: 5.949 10.195 10.195
angles: 120.00 90.00 90.00
Site moments in Bohr magnetons follow the coordinates.
Fractional coordinates of all 24 atoms:
La  0.753  0.863  0.251  0.01
La  0.753  0.749  0.612  0.01
La  0.753  0.388  0.137  0.01
La  0.253  0.137  0.749  0.01
La  0.253  0.251  0.388  0.01
La  0.253  0.612  0.863  0.01
Be  0.339  0.667  0.333  0.00
Be  0.839  0.333  0.667  0.00
V  0.983  0.000  0.000  1.48
V  0.483  0.000  0.000  1.48
S  0.232  0.924  0.141  -0.02
S  0.232  0.859  0.783  -0.02
S  0.232  0.217  0.076  -0.02
S  0.732  0.076  0.859  -0.02
S  0.732  0.141  0.217  -0.02
S  0.732  0.783  0.924  -0.02
S  0.469  0.595  0.113  0.00
S  0.469  0.887  0.482  0.00
S  0.469  0.518  0.405  0.00
S  0.969  0.405  0.887  0.00
S  0.969  0.113  0.518  0.00
S  0.969  0.482  0.595  0.00
S  0.986  0.667  0.333  0.00
S  0.486  0.333  0.667  0.00

Summary:
SG: P6_3, No. 173
calculated total energy: -6.7780 eV/atom



## LaBeSb2 (PBEsol)

Data for a relaxed structure of LaBeSb2.

abc: 5.175 5.175 5.175
angles: 60.00 60.00 60.00
Fractional coordinates of all 4 atoms:
Sb  0.250  0.250  0.250
Sb  0.750  0.750  0.750
Be  0.000  0.000  0.000
La  0.500  0.500  0.500

Summary:
SG: Fm-3m, No. 225
energy relative to the lowest polymorph listed for this composition: 0.69 eV/f.u.



## LaBeSb2 (PBEsol)

Data for a relaxed structure of LaBeSb2.

abc: 5.191 5.191 5.191
angles: 60.00 60.00 60.00
Fractional coordinates of all 4 atoms:
Sb  0.000  0.000  0.000
Sb  0.750  0.750  0.750
Be  0.500  0.500  0.500
La  0.250  0.250  0.250

Summary:
SG: F-43m, No. 216
energy relative to the lowest polymorph listed for this composition: 0.84 eV/f.u.



## LaBeSb2 (PBEsol)

Data for a relaxed structure of LaBeSb2.

abc: 3.826 3.826 6.456
angles: 90.00 90.00 90.00
Fractional coordinates of all 4 atoms:
Sb  0.000  0.000  0.785
Sb  0.000  0.000  0.215
Be  0.500  0.500  0.000
La  0.500  0.500  0.500

Summary:
SG: P4/mmm, No. 123
energy relative to the lowest polymorph listed for this composition: 0.00 eV/f.u.



## LaScBe2 (PBEsol)

Data for a relaxed structure of LaScBe2.

abc: 4.052 4.052 5.365
angles: 112.19 112.19 90.00
Fractional coordinates of all 4 atoms:
Sc  0.250  0.750  0.500
Be  0.000  0.000  0.000
Be  0.750  0.250  0.500
La  0.500  0.500  0.000

Summary:
SG: I-4m2, No. 119
energy relative to the lowest polymorph listed for this composition: 0.00 eV/f.u.
E_form: 0.445 eV per atom